[1]
MgSbSI2: optimized geometry, PBE.

a = 5.4438 Å, b = 5.4438 Å, c = 5.9150 Å
α = 90.00°, β = 90.00°, γ = 90.00°
Closest atoms and distances in Å follow each position.
Atoms (fractional coordinates):
Mg (0.0000, 0.0000, 0.0000)  4 I 2.72, 2 Sb 2.96
Sb (0.0000, 0.0000, 0.5000)  2 Mg 2.96
S (0.5000, 0.5000, 0.5000)  4 Sb 3.85, 8 I 4.02
I (0.0000, 0.5000, 0.0000)  2 Mg 2.72
I (0.5000, 0.0000, 0.0000)  2 Mg 2.72

As for the raw formation energy: 2.0 eV/f.u. The raw total energy is -11.0 eV/cell. The calculation puts the energy above the most stable polymorph in this dataset at 2.7 kJ per mole of atoms. The density of states at the Fermi level comes out at 3.8 states/eV/f.u.


[2]
CeSmErIn: optimized geometry, PBE.

a = 5.4176 Å, b = 5.4176 Å, c = 5.4176 Å
α = 60.00°, β = 60.00°, γ = 60.00°
Closest atoms and distances in Å follow each position.
Atoms (fractional coordinates):
Ce (0.0000, 0.0000, 0.0000)  4 Er 3.32, 4 Sm 3.32
Sm (0.7500, 0.7500, 0.7500)  4 In 3.32, 4 Ce 3.32
Er (0.2500, 0.2500, 0.2500)  4 In 3.32, 4 Ce 3.32
In (0.5000, 0.5000, 0.5000)  4 Er 3.32, 4 Sm 3.32

Its formation energy is -0.07 eV per atom. The raw total energy is -18.3 eV/cell. The density of states at the Fermi level comes out at 5.9 states/eV/f.u.


[3]
Li2BeCl: optimized geometry, PBE.

a = 7.4421 Å, b = 7.4421 Å, c = 7.4421 Å
α = 156.25°, β = 155.23°, γ = 34.58°
Closest atoms and distances in Å follow each position.
Atoms (fractional coordinates):
Li (0.0000, 0.0000, 0.0000)  4 Cl 2.46
Li (0.7168, 0.2168, 0.5000)  2 Cl 2.53, 4 Be 2.72
Be (0.3281, 0.8281, 0.5000)  6 Li 2.72-2.92
Cl (0.5749, 0.5749, 0.0000)  6 Li 2.46-2.53

As for the raw formation energy: -1.2 eV/f.u. The raw total energy is -10.6 eV/cell. The calculation puts the energy above the most stable polymorph in this dataset at 5.5 kJ per mole of atoms. The density of states at the Fermi level comes out at 1.4 states/eV/f.u.


[4]
CaTeSeF: optimized geometry, PBE.

a = 6.6417 Å, b = 6.6417 Å, c = 5.1351 Å
α = 112.33°, β = 112.33°, γ = 32.57°
Closest atoms and distances in Å follow each position.
Atoms (fractional coordinates):
Ca (0.0000, 0.0000, 0.0000)  2 F 2.15
Te (0.7351, 0.7351, 0.4217)  2 Se 2.69-2.75
Se (0.6587, 0.6587, 0.8526)  2 Te 2.69-2.75
F (0.4322, 0.4322, 0.0741)  2 Ca 2.15

As for the raw formation energy: -6.8 eV/f.u. The raw total energy is -17.3 eV/cell. The calculation puts the energy above the most stable polymorph in this dataset at 0.7 kJ per mole of atoms. The density of states at the Fermi level comes out at 0.3 states/eV/f.u.


[5]
Ti2CuBAs: optimized geometry, PBE.

a = 4.6380 Å, b = 4.6380 Å, c = 4.1901 Å
α = 90.00°, β = 90.00°, γ = 90.00°
Closest atoms and distances in Å follow each position.
Atoms (fractional coordinates):
Ti (0.0000, 0.5000, 0.0000)  2 Cu 2.32
Ti (0.5000, 0.0000, 0.0000)  2 Cu 2.32
Cu (0.0000, 0.0000, 0.0000)  2 As 2.10, 4 Ti 2.32
B (0.5000, 0.5000, 0.5000)  8 Ti 3.13, 4 As 3.28
As (0.0000, 0.0000, 0.5000)  2 Cu 2.10

Its formation energy is 1.22 eV per atom. The raw total energy is -25.1 eV/cell. The density of states at the Fermi level comes out at 5.2 states/eV/f.u.


[6]
LaNd7In4: optimized geometry, PBE.

a = 7.9343 Å, b = 7.9343 Å, c = 10.8739 Å
α = 120.95°, β = 120.95°, γ = 43.27°
Closest atoms and distances in Å follow each position.
Atoms (fractional coordinates):
La (0.0000, 0.0000, 0.0000)  2 Nd 2.93
Nd (0.0625, 0.0625, 0.3935)  5 In 3.27-3.66, 2 Nd 3.39-3.58
Nd (0.2057, 0.2057, 0.8791)  4 Nd 3.39-3.78, 4 In 3.44-3.54
Nd (0.2843, 0.2843, 0.3470)  4 In 3.09-3.26
Nd (0.5000, 0.5000, 0.0000)  2 La 2.93, 4 In 3.08-3.20
Nd (0.7157, 0.7157, 0.6530)  4 In 3.09-3.26
Nd (0.7943, 0.7943, 0.1209)  4 Nd 3.39-3.78, 4 In 3.44-3.54
Nd (0.9375, 0.9375, 0.6065)  5 In 3.27-3.66, 2 Nd 3.39-3.58
In (0.3184, 0.3184, 0.6682)  5 Nd 3.08-3.27, 1 In 3.11
In (0.4419, 0.4419, 0.2435)  6 Nd 3.09-3.44, 1 In 3.11
In (0.5581, 0.5581, 0.7565)  6 Nd 3.09-3.44, 1 In 3.11
In (0.6816, 0.6816, 0.3318)  5 Nd 3.08-3.27, 1 In 3.11

Its formation energy is -0.15 eV per atom. The raw total energy is -51.1 eV/cell. The density of states at the Fermi level comes out at 12.7 states/eV/f.u.


Total magnetization, respectively: 0.84; 0.00; 0.00; 0.00; 0.00; 0.32 Bohr magnetons per cell.